Entry from Alexandria: a relaxed MnSbI2F crystal (PBE with a Hubbard U).

Geometry as POSCAR:
```
MnSbI2F
1.0
-3.719 -4.236 -2.061
2.914 -0.006 -5.247
2.620 -3.009 1.458
I Sb Mn F
2 1 1 1
direct
0.500 0.000 0.000
0.000 0.500 0.000
0.000 0.000 0.500
0.500 0.500 0.500
0.000 0.000 0.000
```

Summary:
E = -3.449 eV per atom
E above lowest polymorph = 0.0 meV/atom
Total magnetic moment = 1.13 μB per atom